# GGA-PBE PaCo2B, optimized geometry
data_PaCo2B
_cell_length_a 3.566
_cell_length_b 3.566
_cell_length_c 8.396
_cell_angle_alpha 90.00
_cell_angle_beta 90.00
_cell_angle_gamma 90.00
_symmetry_space_group_name_H-M 'P 4/n m m'
_symmetry_Int_Tables_number 129
loop_
_symmetry_equiv_pos_as_xyz
'x,y,z'
'-x,-y,-z'
'-y+1/2,x,z'
'y+1/2,-x,-z'
'-x+1/2,-y+1/2,z'
'x+1/2,y+1/2,-z'
'y,-x+1/2,z'
'-y,x+1/2,-z'
'x+1/2,-y,-z'
'-x+1/2,y,z'
'-y,-x,-z'
'y,x,z'
'-x,y+1/2,-z'
'x,-y+1/2,z'
'y+1/2,x+1/2,-z'
'-y+1/2,-x+1/2,z'
loop_
_atom_site_label
_atom_site_type_symbol
_atom_site_fract_x
_atom_site_fract_y
_atom_site_fract_z
_atom_site_occupancy
Pa1 Pa 0.250 0.250 0.228 1
Co1 Co 0.250 0.250 0.884 1
Co2 Co 0.250 0.750 0.500 1
B1 B 0.250 0.250 0.629 1
# Calculated density, g/cm³: 11.19
# Magnetization, μB per cell: 0.000
# Formation energy, eV/atom: -0.42
# E_tot, eV per atom: -8.0178

=====

# GGA-PBE PaCo6B3, optimized geometry
data_PaCo6B3
_cell_length_a 4.9879
_cell_length_b 4.9879
_cell_length_c 14.8213
_cell_angle_alpha 90.00
_cell_angle_beta 90.00
_cell_angle_gamma 120.00
_symmetry_space_group_name_H-M 'R 3'
_symmetry_Int_Tables_number 146
_symmetry_space_group_name_Hall 'R 3'
loop_
_atom_site_label
_atom_site_type_symbol
_atom_site_fract_x
_atom_site_fract_y
_atom_site_fract_z
_atom_site_occupancy
Pa1 Pa 0.0000 0.0000 0.0000 1
Co1 Co 0.0019 0.4366 0.1290 1
Co2 Co 0.1597 0.8255 0.2714 1
B1 B 0.0000 0.0000 0.1723 1
B2 B 0.0000 0.0000 0.3705 1
B3 B 0.0000 0.0000 0.7041 1
# Calculated density, g/cm³: 9.63
# Magnetization, μB per cell: 3.081
# Formation energy, eV/atom: -0.28
# E_tot, eV per atom: -7.4987

=====

# GGA-PBE PaCo4B4, optimized geometry
data_PaCo4B4
_cell_length_a 6.967
_cell_length_b 6.967
_cell_length_c 3.818
_cell_angle_alpha 90.00
_cell_angle_beta 90.00
_cell_angle_gamma 90.00
_symmetry_space_group_name_H-M 'P 42/n'
_symmetry_Int_Tables_number 86
loop_
_symmetry_equiv_pos_as_xyz
'x,y,z'
'-x,-y,-z'
'-y,x+1/2,z+1/2'
'y,-x+1/2,-z+1/2'
'-x+1/2,-y+1/2,z'
'x+1/2,y+1/2,-z'
'y+1/2,-x,z+1/2'
'-y+1/2,x,-z+1/2'
loop_
_atom_site_label
_atom_site_type_symbol
_atom_site_fract_x
_atom_site_fract_y
_atom_site_fract_z
_atom_site_occupancy
Pa1 Pa 0.250 0.250 0.250 1
Co1 Co 0.106 0.631 0.144 1
B1 B 0.046 0.910 0.146 1
# Calculated density, g/cm³: 9.14
# Magnetization, μB per cell: 0.000
# Formation energy, eV/atom: -0.46
# E_tot, eV per atom: -7.6408

=====

# GGA-PBE PaCo22B6, optimized geometry
data_PaCo22B6
_cell_length_a 10.560
_cell_length_b 10.560
_cell_length_c 10.560
_cell_angle_alpha 90.00
_cell_angle_beta 90.00
_cell_angle_gamma 90.00
_symmetry_space_group_name_H-M 'F m -3 m'
_symmetry_Int_Tables_number 225
_symmetry_space_group_name_Hall '-F 4 2 3'
loop_
_atom_site_label
_atom_site_type_symbol
_atom_site_fract_x
_atom_site_fract_y
_atom_site_fract_z
_atom_site_occupancy
Pa1 Pa 0.000 0.000 0.000 1
Co1 Co 0.000 0.173 0.173 1
Co2 Co 0.119 0.119 0.381 1
Co3 Co 0.250 0.250 0.250 1
B1 B 0.000 0.000 0.276 1
# Calculated density, g/cm³: 8.98
# Magnetization, μB per cell: 98.927
# Formation energy, eV/atom: -0.14
# E_tot, eV per atom: -7.2384

=====

# GGA-PBE PaCo3B2, optimized geometry
data_PaCo3B2
_cell_length_a 6.3973
_cell_length_b 6.3973
_cell_length_c 4.0519
_cell_angle_alpha 90.00
_cell_angle_beta 90.00
_cell_angle_gamma 120.00
_symmetry_space_group_name_H-M 'P -3 m 1'
_symmetry_Int_Tables_number 164
_symmetry_space_group_name_Hall '-P 3 2"'
loop_
_atom_site_label
_atom_site_type_symbol
_atom_site_fract_x
_atom_site_fract_y
_atom_site_fract_z
_atom_site_occupancy
Pa1 Pa 0.3333 0.6667 0.4206 1
Co1 Co 0.1515 0.3031 0.7708 1
B1 B 0.0000 0.0000 0.0000 1
B2 B 0.0000 0.5000 0.0000 1
# Calculated density, g/cm³: 9.93
# Magnetization, μB per cell: 0.000
# Formation energy, eV/atom: -0.05
# E_tot, eV per atom: -7.4097

=====

# GGA-PBE PaCo4B, optimized geometry
data_PaCo4B
_cell_length_a 6.935
_cell_length_b 3.411
_cell_length_c 6.099
_cell_angle_alpha 90.00
_cell_angle_beta 90.00
_cell_angle_gamma 90.00
_symmetry_space_group_name_H-M 'P m m a'
_symmetry_Int_Tables_number 51
_symmetry_space_group_name_Hall '-P 2a 2a'
loop_
_atom_site_label
_atom_site_type_symbol
_atom_site_fract_x
_atom_site_fract_y
_atom_site_fract_z
_atom_site_occupancy
Pa1 Pa 0.250 0.000 0.114 1
Co1 Co 0.000 0.000 0.500 1
Co2 Co 0.070 0.500 0.792 1
Co3 Co 0.250 0.500 0.448 1
B1 B 0.250 0.000 0.669 1
# Calculated density, g/cm³: 10.99
# Magnetization, μB per cell: 3.208
# Formation energy, eV/atom: -0.26
# E_tot, eV per atom: -7.6974

=====

# GGA-PBE PaCo2B, optimized geometry
data_PaCo2B
_cell_length_a 4.230
_cell_length_b 9.246
_cell_length_c 5.192
_cell_angle_alpha 90.00
_cell_angle_beta 90.00
_cell_angle_gamma 90.00
_symmetry_space_group_name_H-M 'C m m e'
_symmetry_Int_Tables_number 67
_symmetry_space_group_name_Hall '-C 2a 2'
loop_
_atom_site_label
_atom_site_type_symbol
_atom_site_fract_x
_atom_site_fract_y
_atom_site_fract_z
_atom_site_occupancy
Pa1 Pa 0.000 0.250 0.205 1
Co1 Co 0.000 0.085 0.688 1
B1 B 0.250 0.000 0.000 1
# Calculated density, g/cm³: 11.77
# Magnetization, μB per cell: 0.001
# Formation energy, eV/atom: -0.36
# E_tot, eV per atom: -7.9598

=====

# GGA-PBE Pa2Co3B4, optimized geometry
data_Pa2Co3B4
_cell_length_a 4.779
_cell_length_b 8.176
_cell_length_c 11.566
_cell_angle_alpha 90.00
_cell_angle_beta 90.00
_cell_angle_gamma 90.00
_symmetry_space_group_name_H-M 'F m m m'
_symmetry_Int_Tables_number 69
_symmetry_space_group_name_Hall '-F 2 2'
loop_
_atom_site_label
_atom_site_type_symbol
_atom_site_fract_x
_atom_site_fract_y
_atom_site_fract_z
_atom_site_occupancy
Pa1 Pa 0.000 0.000 0.158 1
Co1 Co 0.000 0.000 0.500 1
Co2 Co 0.250 0.250 0.000 1
B1 B 0.000 0.163 0.370 1
# Calculated density, g/cm³: 10.03
# Magnetization, μB per cell: 0.000
# Formation energy, eV/atom: -0.11
# E_tot, eV per atom: -7.5536

=====

# GGA-PBE Pa2Co2B3, optimized geometry
data_Pa2Co2B3
_cell_length_a 9.579
_cell_length_b 3.758
_cell_length_c 5.509
_cell_angle_alpha 90.00
_cell_angle_beta 116.61
_cell_angle_gamma 90.00
_symmetry_space_group_name_H-M 'C 1 2/m 1'
_symmetry_Int_Tables_number 12
_symmetry_space_group_name_Hall '-C 2y'
loop_
_atom_site_label
_atom_site_type_symbol
_atom_site_fract_x
_atom_site_fract_y
_atom_site_fract_z
_atom_site_occupancy
Pa1 Pa 0.143 0.000 0.302 1
Co1 Co 0.175 0.000 0.834 1
B1 B 0.000 0.500 0.500 1
B2 B 0.093 0.500 0.853 1
# Calculated density, g/cm³: 11.47
# Magnetization, μB per cell: 0.002
# Formation energy, eV/atom: -0.25
# E_tot, eV per atom: -7.8568

=====

# GGA-PBE Pa2CoB2, optimized geometry
data_Pa2CoB2
_cell_length_a 9.552
_cell_length_b 3.728
_cell_length_c 9.379
_cell_angle_alpha 90.00
_cell_angle_beta 117.59
_cell_angle_gamma 90.00
_symmetry_space_group_name_H-M 'C 1 2/m 1'
_symmetry_Int_Tables_number 12
_symmetry_space_group_name_Hall '-C 2y'
loop_
_atom_site_label
_atom_site_type_symbol
_atom_site_fract_x
_atom_site_fract_y
_atom_site_fract_z
_atom_site_occupancy
Pa1 Pa 0.121 0.000 0.404 1
Pa2 Pa 0.217 0.500 0.146 1
Co1 Co 0.053 0.500 0.813 1
B1 B 0.025 0.000 0.923 1
B2 B 0.088 0.500 0.598 1
# Calculated density, g/cm³: 12.17
# Magnetization, μB per cell: 0.000
# Formation energy, eV/atom: -0.40
# E_tot, eV per atom: -8.2905

=====

# GGA-PBE Pa2Co3B, optimized geometry
data_Pa2Co3B
_cell_length_a 7.000
_cell_length_b 8.282
_cell_length_c 12.641
_cell_angle_alpha 90.00
_cell_angle_beta 90.00
_cell_angle_gamma 90.00
_symmetry_space_group_name_H-M 'F m m m'
_symmetry_Int_Tables_number 69
_symmetry_space_group_name_Hall '-F 2 2'
loop_
_atom_site_label
_atom_site_type_symbol
_atom_site_fract_x
_atom_site_fract_y
_atom_site_fract_z
_atom_site_occupancy
Pa1 Pa 0.245 0.000 0.000 1
Pa2 Pa 0.250 0.250 0.250 1
Co1 Co 0.000 0.000 0.161 1
Co2 Co 0.000 0.212 0.403 1
B1 B 0.000 0.000 0.324 1
# Calculated density, g/cm³: 11.78
# Magnetization, μB per cell: 0.001
# Formation energy, eV/atom: -0.34
# E_tot, eV per atom: -8.1717

=====

# GGA-PBE Pa3Co9B2, optimized geometry
data_Pa3Co9B2
_cell_length_a 5.4818
_cell_length_b 5.4818
_cell_length_c 13.6679
_cell_angle_alpha 90.00
_cell_angle_beta 90.00
_cell_angle_gamma 120.00
_symmetry_space_group_name_H-M 'P 63/m m c'
_symmetry_Int_Tables_number 194
_symmetry_space_group_name_Hall '-P 6c 2c'
loop_
_atom_site_label
_atom_site_type_symbol
_atom_site_fract_x
_atom_site_fract_y
_atom_site_fract_z
_atom_site_occupancy
Pa1 Pa 0.0000 0.0000 0.2500 1
Pa2 Pa 0.3333 0.6667 0.0786 1
Co1 Co 0.0007 0.5004 0.7500 1
Co2 Co 0.1590 0.3180 0.5804 1
B1 B 0.3333 0.6667 0.6584 1
# Calculated density, g/cm³: 11.63
# Magnetization, μB per cell: 0.000
# Formation energy, eV/atom: -0.44
# E_tot, eV per atom: -7.9929

=====

> Number 3 is which compound?

PaCo4B4

=====

> Which value of magnetization does entry 1 give?

0.000 μB per cell

=====

> Number 5 is which compound?

PaCo3B2